Record 1
Here is crystalline Ir2PtRh at its relaxed geometry from the Alexandria database. Energies are from GGA-PBEsol.

Computed properties:
Calculated volume, Å³/cell: 58.0
Spin magnetization, μB/f.u.: 0.001
Offset from the most stable computed form, kJ/mol of atoms: 23.1
DFT total energy, Ry per atom: -0.621

Cell lengths 2.688, 2.688, 9.344 Å; angles 90.00, 90.00, 120.82 degrees
Sites, in units of the cell vectors:
Ir 0.000 0.000 0.000
Ir 0.500 0.500 0.246
Pt 0.000 0.000 0.503
Rh 0.500 0.500 0.755



Record 2
Here is crystalline IrPtRh2 at its relaxed geometry from the Alexandria database. Energies are from GGA-PBEsol.

Computed properties:
Calculated volume, Å³/cell: 55.9
Spin magnetization, μB/f.u.: 0.001
Offset from the most stable computed form, kJ/mol of atoms: 0.0
DFT total energy, Ry per atom: -0.611

Cell lengths 2.697, 2.697, 7.679 Å; angles 90.00, 90.00, 90.00 degrees
Sites, in units of the cell vectors:
Ir 0.000 0.000 0.000
Pt 0.000 0.000 0.500
Rh 0.500 0.500 0.241
Rh 0.500 0.500 0.759



Record 3
Here is crystalline IrPt2Rh at its relaxed geometry from the Alexandria database. Energies are from GGA-PBEsol.

Computed properties:
Calculated volume, Å³/cell: 58.5
Spin magnetization, μB/f.u.: 0.001
Offset from the most stable computed form, kJ/mol of atoms: 17.9
DFT total energy, Ry per atom: -0.573

Cell lengths 5.398, 5.398, 2.689 Å; angles 104.19, 104.19, 120.71 degrees
Sites, in units of the cell vectors:
Ir 0.000 0.000 0.000
Pt 0.000 0.500 0.000
Pt 0.500 0.000 0.000
Rh 0.500 0.500 0.000



Record 4
Here is crystalline IrPt2Rh at its relaxed geometry from the Alexandria database. Energies are from GGA-PBEsol.

Computed properties:
Calculated volume, Å³/cell: 57.5
Spin magnetization, μB/f.u.: 0.000
Offset from the most stable computed form, kJ/mol of atoms: 0.0
DFT total energy, Ry per atom: -0.587

Cell lengths 2.722, 2.722, 7.763 Å; angles 90.00, 90.00, 90.00 degrees
Sites, in units of the cell vectors:
Ir 0.000 0.000 0.000
Pt 0.000 0.000 0.516
Pt 0.500 0.500 0.251
Rh 0.500 0.500 0.768



Record 5
Here is crystalline IrPt2Rh at its relaxed geometry from the Alexandria database. Energies are from GGA-PBEsol.

Computed properties:
Calculated volume, Å³/cell: 57.4
Spin magnetization, μB/f.u.: 0.001
Offset from the most stable computed form, kJ/mol of atoms: 4.5
DFT total energy, Ry per atom: -0.583

Cell lengths 4.717, 4.717, 4.717 Å; angles 131.67, 131.67, 70.76 degrees
Sites, in units of the cell vectors:
Ir 0.000 0.000 0.000
Pt 0.250 0.750 0.500
Pt 0.750 0.250 0.500
Rh 0.500 0.500 0.000



Record 6
Here is crystalline IrPt2Rh at its relaxed geometry from the Alexandria database. Energies are from GGA-PBEsol.

Computed properties:
Calculated volume, Å³/cell: 57.4
Spin magnetization, μB/f.u.: 0.001
Offset from the most stable computed form, kJ/mol of atoms: 4.5
DFT total energy, Ry per atom: -0.583

Cell lengths 4.708, 2.732, 4.735 Å; angles 90.00, 109.53, 90.00 degrees
Sites, in units of the cell vectors:
Ir 0.000 0.000 0.000
Pt 0.500 0.000 0.500
Pt 0.500 0.500 0.000
Rh 0.000 0.500 0.500



Record 7
Here is crystalline IrPtRh2 at its relaxed geometry from the Alexandria database. Energies are from GGA-PBEsol.

Computed properties:
Calculated volume, Å³/cell: 55.9
Spin magnetization, μB/f.u.: 0.000
Offset from the most stable computed form, kJ/mol of atoms: 5.4
DFT total energy, Ry per atom: -0.607

Cell lengths 2.702, 2.702, 7.655 Å; angles 90.00, 90.00, 90.00 degrees
Sites, in units of the cell vectors:
Ir 0.000 0.000 0.000
Pt 0.500 0.500 0.258
Rh 0.000 0.000 0.515
Rh 0.500 0.500 0.759



Record 8
Here is crystalline IrPt2Rh at its relaxed geometry from the Alexandria database. Energies are from GGA-PBEsol.

Computed properties:
Calculated volume, Å³/cell: 57.4
Spin magnetization, μB/f.u.: 0.001
Offset from the most stable computed form, kJ/mol of atoms: 4.4
DFT total energy, Ry per atom: -0.583

Cell lengths 4.708, 4.708, 4.732 Å; angles 99.67, 99.67, 33.79 degrees
Sites, in units of the cell vectors:
Ir 0.000 0.000 0.000
Pt 0.251 0.251 0.751
Pt 0.749 0.749 0.249
Rh 0.500 0.500 0.500



Record 9
Here is crystalline Ir2PtRh at its relaxed geometry from the Alexandria database. Energies are from GGA-PBEsol.

Computed properties:
Calculated volume, Å³/cell: 57.9
Spin magnetization, μB/f.u.: 0.001
Offset from the most stable computed form, kJ/mol of atoms: 24.5
DFT total energy, Ry per atom: -0.620

Cell lengths 2.684, 2.684, 9.357 Å; angles 90.00, 90.00, 120.77 degrees
Sites, in units of the cell vectors:
Ir 0.000 0.000 0.245
Ir 0.000 0.000 0.755
Pt 0.500 0.500 0.500
Rh 0.500 0.500 0.000



Record 10
Here is crystalline IrPt2Rh at its relaxed geometry from the Alexandria database. Energies are from GGA-PBEsol.

Computed properties:
Calculated volume, Å³/cell: 57.4
Spin magnetization, μB/f.u.: 0.000
Offset from the most stable computed form, kJ/mol of atoms: 1.8
DFT total energy, Ry per atom: -0.585

Cell lengths 2.730, 3.850, 5.462 Å; angles 90.00, 90.00, 90.00 degrees
Sites, in units of the cell vectors:
Ir 0.000 0.000 0.000
Pt 0.000 0.000 0.511
Pt 0.500 0.500 0.252
Rh 0.500 0.500 0.765



Record 11
Here is crystalline IrPtRh2 at its relaxed geometry from the Alexandria database. Energies are from GGA-PBEsol.

Computed properties:
Calculated volume, Å³/cell: 55.8
Spin magnetization, μB/f.u.: 0.001
Offset from the most stable computed form, kJ/mol of atoms: 4.2
DFT total energy, Ry per atom: -0.608

Cell lengths 4.682, 4.682, 2.702 Å; angles 90.00, 90.00, 109.51 degrees
Sites, in units of the cell vectors:
Ir 0.000 0.000 0.000
Pt 0.500 0.500 0.000
Rh 0.000 0.500 0.500
Rh 0.500 0.000 0.500



Record 12
Here is crystalline Ir2PtRh at its relaxed geometry from the Alexandria database. Energies are from GGA-PBEsol.

Computed properties:
Calculated volume, Å³/cell: 56.5
Spin magnetization, μB/f.u.: 0.000
Offset from the most stable computed form, kJ/mol of atoms: 0.7
DFT total energy, Ry per atom: -0.638

Cell lengths 2.716, 3.831, 5.425 Å; angles 90.00, 90.00, 90.00 degrees
Sites, in units of the cell vectors:
Ir 0.000 0.000 0.000
Ir 0.500 0.500 0.240
Pt 0.000 0.000 0.498
Rh 0.500 0.500 0.752